PmF3: optimized geometry, GGA-PBE.

The structure in POSCAR format:
```
PmF3
1.0
4.2214 -0.0166 0.0000
0.8796 4.1288 0.0000
-2.5505 -2.0561 2.6623
F Pm
3 1
direct
0.7500 0.2500 0.5000 F
0.2500 0.7500 0.5000 F
0.5000 0.5000 0.0000 F
0.0000 0.0000 0.0000 Pm
```

Output
**Total magnetic moment**: 0.05 Bohr magnetons per cell
**Formation energy without anion corrections**: -3897.7 meV/atom
**Density**: 7223 kg/m³